[1]
A relaxed CoRePb2 crystal, computed with PBE.

Unit cell a=5.5298 b=5.5298 c=5.5298 alpha=137.46 beta=137.46 gamma=61.73
Last column: nearest neighbours and their distance in Å.
Fractional positions:
Co1 0.0000 0.0000 0.0000  8 Pb 2.84-3.11, 4 Re 3.11
Re1 0.7500 0.2500 0.5000  8 Pb 2.84-3.11, 4 Co 3.11
Pb1 0.2500 0.7500 0.5000  4 Re 2.84, 4 Co 3.11, 4 Pb 3.11
Pb2 0.5000 0.5000 0.0000  4 Co 2.84, 4 Re 3.11, 4 Pb 3.11

Values from the calculation:
The energy above the most stable polymorph in this dataset comes out at 607 meV/atom. Its space group is I-4m2 (119). Its uncorrected energy is -5.6730 eV/atom. The total moment comes out at 1.91 μB per cell.



[2]
A relaxed TlOsRu crystal, computed with PBE.

Unit cell a=2.8944 b=2.8944 c=7.0354 alpha=90.00 beta=90.00 gamma=120.00
Last column: nearest neighbours and their distance in Å.
Fractional positions:
Tl1 0.0000 0.0000 0.0000  6 Tl 2.89, 3 Ru 3.00, 3 Os 3.05
Os1 0.3333 0.6667 0.3633  3 Ru 2.60, 6 Os 2.89
Ru1 0.6667 0.3333 0.6464  3 Os 2.60, 6 Ru 2.89

Values from the calculation:
The energy above the most stable polymorph in this dataset comes out at 139 meV/atom. Its space group is P3m1 (156). Its uncorrected energy is -6.9533 eV/atom. The total moment comes out at 0.00 μB per cell.



[3]
A relaxed NpSnAs2 crystal, computed with PBE.

Unit cell a=6.9021 b=6.9021 c=6.9021 alpha=36.35 beta=36.35 gamma=36.35
Last column: nearest neighbours and their distance in Å.
Fractional positions:
Np1 0.0000 0.0000 0.0000  6 As 2.80-2.91
Sn1 0.1731 0.1731 0.1731  6 As 2.95-3.23
As1 0.4001 0.4001 0.4001  3 Np 2.80
As2 0.5887 0.5887 0.5887  3 Np 2.91, 3 Sn 2.95

Values from the calculation:
The energy above the most stable polymorph in this dataset comes out at 110 meV/atom. Its space group is R3m (160). Its uncorrected energy is -6.7739 eV/atom. The total moment comes out at 3.02 μB per cell.



[4]
A relaxed AlRe2N crystal, computed with PBE.

Unit cell a=6.6180 b=6.6180 c=6.6180 alpha=136.77 beta=136.77 gamma=62.79
Last column: nearest neighbours and their distance in Å.
Fractional positions:
Al1 0.0000 0.0000 0.0000  4 Re 2.62
Al2 0.7500 0.2500 0.5000  4 Re 2.62
Re1 0.2536 0.6250 0.1286  2 N 1.96
Re2 0.3750 0.5036 0.6286  2 N 1.96
Re3 0.4964 0.1250 0.8714  2 N 1.96
Re4 0.8750 0.7464 0.3714  2 N 1.96
N1 0.2500 0.7500 0.5000  4 Re 1.96
N2 0.5000 0.5000 0.0000  4 Re 1.96

Values from the calculation:
The energy above the most stable polymorph in this dataset comes out at 0 meV/atom. Its space group is I-42d (122). Its uncorrected energy is -8.4022 eV/atom. The value obtained for the uncorrected formation energy is 19.345 kcal/mol of atoms. The total moment comes out at 0.05 μB per cell.



[5]
A relaxed Tb2Dy8Sc3 crystal, computed with PBE.

Unit cell a=8.5031 b=8.5031 c=6.5485 alpha=97.30 beta=97.30 gamma=61.67
Last column: nearest neighbours and their distance in Å.
Fractional positions:
Tb1 0.2007 0.2007 0.2863  7 Dy 3.21-3.49, 3 Sc 3.43-3.54
Tb2 0.7993 0.7993 0.7137  7 Dy 3.21-3.49, 3 Sc 3.43-3.54
Dy1 0.1924 0.1924 0.7940  1 Sc 3.16, 2 Tb 3.21-3.34
Dy2 0.2073 0.5731 0.5729  3 Dy 3.19-3.48, 2 Tb 3.26-3.49, 2 Sc 3.27-3.29
Dy3 0.4122 0.4122 0.1137  3 Dy 3.15-3.46, 2 Sc 3.33, 1 Tb 3.44
Dy4 0.4269 0.7927 0.4271  3 Dy 3.19-3.48, 2 Tb 3.26-3.49, 2 Sc 3.27-3.29
Dy5 0.5731 0.2073 0.5729  3 Dy 3.19-3.48, 2 Tb 3.26-3.49, 2 Sc 3.27-3.29
Dy6 0.5878 0.5878 0.8863  3 Dy 3.15-3.46, 2 Sc 3.33, 1 Tb 3.44
Dy7 0.7927 0.4269 0.4271  3 Dy 3.19-3.48, 2 Tb 3.26-3.49, 2 Sc 3.27-3.29
Dy8 0.8076 0.8076 0.2060  1 Sc 3.16, 2 Tb 3.21-3.34
Sc1 0.0000 0.0000 0.5000  6 Dy 3.16-3.27, 2 Tb 3.43
Sc2 0.1638 0.8362 0.0000  1 Sc 2.86
Sc3 0.8362 0.1638 0.0000  1 Sc 2.86

Values from the calculation:
The energy above the most stable polymorph in this dataset comes out at 66 meV/atom. Its space group is C2/m (12). Its uncorrected energy is -4.7499 eV/atom. The total moment comes out at 0.00 μB per cell.



[6]
A relaxed ThPaOs crystal, computed with PBE.

Unit cell a=3.8551 b=4.6759 c=8.1864 alpha=90.00 beta=90.00 gamma=90.00
Last column: nearest neighbours and their distance in Å.
Fractional positions:
Th1 0.2500 0.2500 0.1403  5 Os 2.97-3.10
Th2 0.7500 0.7500 0.8597  5 Os 2.97-3.10
Pa1 0.2500 0.7500 0.4677  2 Os 2.78, 4 Pa 3.08
Pa2 0.7500 0.2500 0.5323  2 Os 2.78, 4 Pa 3.08
Os1 0.2500 0.2500 0.7770  2 Pa 2.78, 5 Th 2.97-3.10
Os2 0.7500 0.7500 0.2230  2 Pa 2.78, 5 Th 2.97-3.10

Values from the calculation:
The energy above the most stable polymorph in this dataset comes out at 0 meV/atom. Its space group is Pmmn (59). Its uncorrected energy is -9.5919 eV/atom. The total moment comes out at 0.00 μB per cell.



[7]
A relaxed HfSe2O5 crystal, computed with PBE.

Unit cell a=9.3889 b=10.0295 c=5.8874 alpha=90.00 beta=90.00 gamma=90.00
Last column: nearest neighbours and their distance in Å.
Fractional positions:
Hf1 0.0000 0.0681 0.2500  6 O 2.05-2.16
Hf2 0.0000 0.9319 0.7500  6 O 2.05-2.16
Hf3 0.5000 0.4319 0.7500  6 O 2.05-2.16
Hf4 0.5000 0.5681 0.2500  6 O 2.05-2.16
Se1 0.1648 0.3810 0.1069  2 O 1.72-1.85
Se2 0.1648 0.6190 0.6069  2 O 1.72-1.85
Se3 0.3352 0.1190 0.6069  2 O 1.72-1.85
Se4 0.3352 0.8810 0.1069  2 O 1.72-1.85
Se5 0.6648 0.1190 0.8931  2 O 1.72-1.85
Se6 0.6648 0.8810 0.3931  2 O 1.72-1.85
Se7 0.8352 0.3810 0.3931  2 O 1.72-1.85
Se8 0.8352 0.6190 0.8931  2 O 1.72-1.85
O1 0.0000 0.4366 0.2500  2 Se 1.85
O2 0.0000 0.5634 0.7500  2 Se 1.85
O3 0.1081 0.0705 0.5615  2 Hf 2.05-2.10, 1 Se 2.20
O4 0.1081 0.9295 0.0615  2 Hf 2.05-2.10, 1 Se 2.20
O5 0.1600 0.2115 0.1497  1 Se 1.72
O6 0.1600 0.7885 0.6497  1 Se 1.72
O7 0.3400 0.2885 0.6497  1 Se 1.72
O8 0.3400 0.7115 0.1497  1 Se 1.72
O9 0.3919 0.4295 0.0615  2 Hf 2.05-2.10, 1 Se 2.20
O10 0.3919 0.5705 0.5615  2 Hf 2.05-2.10, 1 Se 2.20
O11 0.5000 0.0634 0.7500  2 Se 1.85
O12 0.5000 0.9366 0.2500  2 Se 1.85
O13 0.6081 0.4295 0.4385  2 Hf 2.05-2.10, 1 Se 2.20
O14 0.6081 0.5705 0.9385  2 Hf 2.05-2.10, 1 Se 2.20
O15 0.6600 0.2885 0.8503  1 Se 1.72
O16 0.6600 0.7115 0.3503  1 Se 1.72
O17 0.8400 0.2115 0.3503  1 Se 1.72
O18 0.8400 0.7885 0.8503  1 Se 1.72
O19 0.8919 0.0705 0.9385  2 Hf 2.05-2.10, 1 Se 2.20
O20 0.8919 0.9295 0.4385  2 Hf 2.05-2.10, 1 Se 2.20

Values from the calculation:
Its space group is Pbcn (60). Its uncorrected energy is -6.6916 eV/atom. The value obtained for the uncorrected formation energy is -34.070 kcal/mol of atoms. The total moment comes out at 0.00 μB per cell.



[8]
A relaxed ThAl4Au8 crystal, computed with PBE.

Unit cell a=7.1285 b=7.1285 c=7.1285 alpha=98.59 beta=98.59 gamma=134.53
Last column: nearest neighbours and their distance in Å.
Fractional positions:
Th1 0.0000 0.0000 0.0000  12 Au 3.06-3.42
Al1 0.0000 0.0000 0.5000  8 Au 2.72-2.80, 2 Al 2.75
Al2 0.0000 0.5000 0.0000  8 Au 2.72-2.80, 2 Al 2.75
Al3 0.5000 0.0000 0.0000  8 Au 2.72-2.80, 2 Al 2.75
Al4 0.5000 0.5000 0.5000  8 Au 2.72-2.80, 2 Al 2.75
Au1 0.0000 0.3293 0.3293  4 Al 2.80, 4 Au 2.94-3.07, 1 Th 3.06
Au2 0.0000 0.6707 0.6707  4 Al 2.80, 4 Au 2.94-3.07, 1 Th 3.06
Au3 0.2821 0.5000 0.7821  4 Al 2.72, 4 Au 2.87-2.94
Au4 0.3293 0.0000 0.3293  4 Al 2.80, 4 Au 2.94-3.07, 1 Th 3.06
Au5 0.5000 0.2821 0.7821  4 Al 2.72, 4 Au 2.87-2.94
Au6 0.5000 0.7179 0.2179  4 Al 2.72, 4 Au 2.87-2.94
Au7 0.6707 0.0000 0.6707  4 Al 2.80, 4 Au 2.94-3.07, 1 Th 3.06
Au8 0.7179 0.5000 0.2179  4 Al 2.72, 4 Au 2.87-2.94

Values from the calculation:
Its space group is I4/mmm (139). Its uncorrected energy is -4.1933 eV/atom. The total moment comes out at 0.00 μB per cell.